[1]
The following is a DFT calculation (PBE-GGA) of an optimized crystal structure of PmDy8In2.

Calculated values
Its volume is 343 Å³/f.u. The calculated formation energy is -0.048 eV per atom. The value obtained for the density of states at the Fermi level is 15.4 states/eV/f.u. Its space group is No. 12.

Cell lengths 10.0139, 10.0139, 5.3344 Å; angles 93.02, 93.02, 39.97 degrees
With the nearest neighbours (Å) after each atom.
Positions (direct):
Pm (0.0000, 0.0000, 0.0000)  10 Dy 3.48-3.88
Dy (0.1264, 0.6050, 0.2714)  7 Dy 3.28-3.65, 3 In 3.39-3.46, 1 Pm 3.48
Dy (0.1989, 0.1989, 0.2345)  4 In 3.13-3.43, 4 Dy 3.40-3.46
Dy (0.3950, 0.8736, 0.7286)  7 Dy 3.28-3.65, 3 In 3.39-3.46, 1 Pm 3.48
Dy (0.4537, 0.4537, 0.7611)  1 Dy 3.01, 1 In 3.12
Dy (0.5463, 0.5463, 0.2389)  1 Dy 3.01, 1 In 3.12
Dy (0.6050, 0.1264, 0.2714)  7 Dy 3.28-3.65, 3 In 3.39-3.46, 1 Pm 3.48
Dy (0.8011, 0.8011, 0.7655)  4 In 3.13-3.43, 4 Dy 3.40-3.46
Dy (0.8736, 0.3950, 0.7286)  7 Dy 3.28-3.65, 3 In 3.39-3.46, 1 Pm 3.48
In (0.2876, 0.2876, 0.7554)  11 Dy 3.12-3.46
In (0.7124, 0.7124, 0.2446)  11 Dy 3.12-3.46

***

[2]
The following is a DFT calculation (PBE-GGA) of an optimized crystal structure of PmDy5In6.

Calculated values
Its volume is 322 Å³/f.u. The calculated formation energy is -0.472 eV per atom. The value obtained for the density of states at the Fermi level is 5.6 states/eV/f.u. Its space group is No. 65.

Cell lengths 8.4526, 8.4526, 7.5246 Å; angles 90.00, 90.00, 143.15 degrees
With the nearest neighbours (Å) after each atom.
Positions (direct):
Pm (0.0000, 0.0000, 0.0000)  8 In 3.28-3.31
Dy (0.0000, 0.0000, 0.5000)  8 In 3.26-3.28
Dy (0.3328, 0.6672, 0.0000)  8 In 3.25-3.29
Dy (0.3353, 0.6647, 0.5000)  8 In 3.23-3.25
Dy (0.6647, 0.3353, 0.5000)  8 In 3.23-3.25
Dy (0.6672, 0.3328, 0.0000)  8 In 3.25-3.29
In (0.1686, 0.8314, 0.2534)  7 Dy 3.25-3.28, 1 Pm 3.31
In (0.1686, 0.8314, 0.7466)  7 Dy 3.25-3.28, 1 Pm 3.31
In (0.5000, 0.5000, 0.2525)  6 Dy 3.23-3.29, 2 Pm 3.28
In (0.5000, 0.5000, 0.7475)  6 Dy 3.23-3.29, 2 Pm 3.28
In (0.8314, 0.1686, 0.2534)  7 Dy 3.25-3.28, 1 Pm 3.31
In (0.8314, 0.1686, 0.7466)  7 Dy 3.25-3.28, 1 Pm 3.31

***

[3]
The following is a DFT calculation (PBE-GGA) of an optimized crystal structure of Pm4Dy3In.

Calculated values
As for the energy above the most stable polymorph in this dataset: 0 meV per atom. Its volume is 252 Å³/f.u. The calculated formation energy is -0.096 eV per atom. The value obtained for the density of states at the Fermi level is 10.3 states/eV/f.u. Its space group is No. 31.

Cell lengths 11.3177, 7.1514, 6.2277 Å; angles 90.00, 90.00, 90.00 degrees
With the nearest neighbours (Å) after each atom.
Positions (direct):
Pm (0.0000, 0.1292, 0.0000)  5 Pm 3.37-3.63, 2 In 3.43-3.73, 4 Dy 3.44-3.70
Pm (0.0000, 0.8669, 0.4499)  5 Pm 3.37-3.69, 2 In 3.47-3.77, 4 Dy 3.52-3.62
Pm (0.2306, 0.8671, 0.8167)  1 In 3.35, 6 Pm 3.41-3.69, 5 Dy 3.46-3.71
Pm (0.2694, 0.1329, 0.3167)  1 In 3.35, 6 Pm 3.41-3.69, 5 Dy 3.46-3.71
Pm (0.5000, 0.1331, 0.9499)  5 Pm 3.37-3.69, 2 In 3.47-3.77, 4 Dy 3.52-3.62
Pm (0.5000, 0.8708, 0.5000)  5 Pm 3.37-3.63, 2 In 3.43-3.73, 4 Dy 3.44-3.70
Pm (0.7306, 0.1329, 0.3167)  1 In 3.35, 6 Pm 3.41-3.69, 5 Dy 3.46-3.71
Pm (0.7694, 0.8671, 0.8167)  1 In 3.35, 6 Pm 3.41-3.69, 5 Dy 3.46-3.71
Dy (0.0000, 0.3726, 0.4760)  4 Dy 3.43-3.54, 6 Pm 3.44-3.70, 2 In 3.53-3.55
Dy (0.2458, 0.3845, 0.7982)  2 In 3.40-3.50, 4 Dy 3.43-3.54, 6 Pm 3.46-3.71
Dy (0.2542, 0.6155, 0.2982)  2 In 3.40-3.50, 4 Dy 3.43-3.54, 6 Pm 3.46-3.71
Dy (0.5000, 0.6274, 0.9760)  4 Dy 3.43-3.54, 6 Pm 3.44-3.70, 2 In 3.53-3.55
Dy (0.7458, 0.6155, 0.2982)  2 In 3.40-3.50, 4 Dy 3.43-3.54, 6 Pm 3.46-3.71
Dy (0.7542, 0.3845, 0.7982)  2 In 3.40-3.50, 4 Dy 3.43-3.54, 6 Pm 3.46-3.71
In (0.0000, 0.6085, 0.9780)  5 Pm 3.35-3.73, 6 Dy 3.40-3.55
In (0.5000, 0.3915, 0.4780)  5 Pm 3.35-3.73, 6 Dy 3.40-3.55

***

[4]
The following is a DFT calculation (PBE-GGA) of an optimized crystal structure of Pm9Dy2In.

Calculated values
Its volume is 391 Å³/f.u. The calculated formation energy is -0.070 eV per atom. The value obtained for the density of states at the Fermi level is 15.9 states/eV/f.u. Its space group is No. 123.

Cell lengths 5.0381, 5.0381, 15.4165 Å; angles 90.00, 90.00, 90.00 degrees
With the nearest neighbours (Å) after each atom.
Positions (direct):
Pm (0.0000, 0.0000, 0.0000)  8 Pm 3.54, 4 In 3.56
Pm (0.0000, 0.0000, 0.3300)  4 Dy 3.56, 8 Pm 3.62-3.64
Pm (0.0000, 0.0000, 0.6700)  4 Dy 3.56, 8 Pm 3.62-3.64
Pm (0.0000, 0.5000, 0.1612)  2 In 3.54, 8 Pm 3.54-3.62, 2 Dy 3.64
Pm (0.0000, 0.5000, 0.5000)  8 Pm 3.56-3.64, 4 Dy 3.62
Pm (0.0000, 0.5000, 0.8388)  2 In 3.54, 8 Pm 3.54-3.62, 2 Dy 3.64
Pm (0.5000, 0.0000, 0.1612)  2 In 3.54, 8 Pm 3.54-3.62, 2 Dy 3.64
Pm (0.5000, 0.0000, 0.5000)  8 Pm 3.56-3.64, 4 Dy 3.62
Pm (0.5000, 0.0000, 0.8388)  2 In 3.54, 8 Pm 3.54-3.62, 2 Dy 3.64
Dy (0.5000, 0.5000, 0.3313)  12 Pm 3.56-3.64
Dy (0.5000, 0.5000, 0.6687)  12 Pm 3.56-3.64
In (0.5000, 0.5000, 0.0000)  12 Pm 3.54-3.56